Record 1
## BeSnHgPd (PBE)

Data for a relaxed structure of BeSnHgPd.

Its uncorrected energy is -3.074 eV per atom.

Unit cell a=4.674 b=4.674 c=4.674 alpha=60.00 beta=60.00 gamma=60.00
Positions (direct):
Be: 0.750 0.750 0.750
Sn: 0.000 0.000 0.000
Hg: 0.500 0.500 0.500
Pd: 0.250 0.250 0.250



Record 2
## Bi2Pd7 (PBE)

Data for a relaxed structure of Bi2Pd7.

Its uncorrected energy is -4.760 eV per atom.

Unit cell a=3.034 b=3.034 c=30.607 alpha=90.00 beta=90.00 gamma=120.00
Positions (direct):
Pd: 0.333 0.667 0.136
Pd: 0.000 0.000 0.207
Bi: 0.667 0.333 0.280
Pd: 0.000 0.000 0.000
Pd: 0.333 0.667 0.933
Pd: 0.667 0.333 0.864
Pd: 0.000 0.000 0.793
Bi: 0.333 0.667 0.720
Pd: 0.667 0.333 0.067